(1)
A relaxed BaAl2Ag2 crystal. Source: the Alexandria database, functional PBE.

Values from the calculation:
crystal system	orthorhombic
D(E_F)	0.5377	states/eV per atom
energy of formation from the pure elements	-0.174	eV per atom

Cell lengths 8.7895, 7.4829, 6.6157 Å; angles 76.86, 56.00, 47.14 degrees
Last column: nearest neighbours and their distance in Å.
Sites, in units of the cell vectors:
Ba: 0.1250 0.1250 0.1250  6 Ag 3.47-3.79, 8 Al 3.65-3.82
Ba: 0.8750 0.8750 0.8750  6 Ag 3.47-3.79, 8 Al 3.65-3.82
Al: 0.2672 0.2672 0.4828  4 Ag 2.61-2.66, 1 Al 2.89
Al: 0.4828 0.4828 0.2672  4 Ag 2.61-2.66, 1 Al 2.89
Al: 0.5172 0.5172 0.7328  4 Ag 2.61-2.66, 1 Al 2.89
Al: 0.7328 0.7328 0.5172  4 Ag 2.61-2.66, 1 Al 2.89
Ag: 0.1792 0.5708 0.1792  4 Al 2.61-2.66
Ag: 0.4292 0.8208 0.4292  4 Al 2.61-2.66
Ag: 0.5708 0.1792 0.5708  4 Al 2.61-2.66
Ag: 0.8208 0.4292 0.8208  4 Al 2.61-2.66

(2)
A relaxed AcMg6Pb2 crystal. Source: the Alexandria database, functional PBE.

Values from the calculation:
crystal system	tetragonal
D(E_F)	0.4602	states/eV per atom
energy of formation from the pure elements	-0.165	eV per atom

Cell lengths 4.6647, 4.6647, 11.0893 Å; angles 90.00, 90.00, 90.00 degrees
Last column: nearest neighbours and their distance in Å.
Sites, in units of the cell vectors:
Ac: 0.0000 0.0000 0.0000  8 Pb 3.65
Mg: 0.0000 0.0000 0.5000  12 Mg 3.16-3.30
Mg: 0.0000 0.5000 0.3080  2 Pb 2.98, 8 Mg 3.16-3.30
Mg: 0.0000 0.5000 0.6920  2 Pb 2.98, 8 Mg 3.16-3.30
Mg: 0.5000 0.0000 0.3080  2 Pb 2.98, 8 Mg 3.16-3.30
Mg: 0.5000 0.0000 0.6920  2 Pb 2.98, 8 Mg 3.16-3.30
Mg: 0.5000 0.5000 0.5000  12 Mg 3.16-3.30
Pb: 0.5000 0.5000 0.1408  4 Mg 2.98, 1 Pb 3.12
Pb: 0.5000 0.5000 0.8592  4 Mg 2.98, 1 Pb 3.12

(3)
A relaxed SrBr crystal. Source: the Alexandria database, functional PBE.

Values from the calculation:
crystal system	cubic
formation energy (no corrections)	-1.138	eV/atom
D(E_F)	1.0019	states/eV per atom

Cell lengths 8.7767, 8.7767, 8.7767 Å; angles 90.00, 90.00, 90.00 degrees
Last column: nearest neighbours and their distance in Å.
Sites, in units of the cell vectors:
Sr: 0.0000 0.2500 0.5000  4 Br 3.10
Sr: 0.0000 0.7500 0.5000  4 Br 3.10
Sr: 0.2500 0.5000 0.0000  4 Br 3.10
Sr: 0.5000 0.0000 0.2500  4 Br 3.10
Sr: 0.5000 0.0000 0.7500  4 Br 3.10
Sr: 0.7500 0.5000 0.0000  4 Br 3.10
Br: 0.0000 0.5000 0.2500  4 Sr 3.10
Br: 0.0000 0.5000 0.7500  4 Sr 3.10
Br: 0.2500 0.0000 0.5000  4 Sr 3.10
Br: 0.5000 0.2500 0.0000  4 Sr 3.10
Br: 0.5000 0.7500 0.0000  4 Sr 3.10
Br: 0.7500 0.0000 0.5000  4 Sr 3.10

(4)
A relaxed HoNpRuPt crystal. Source: the Alexandria database, functional PBE.

Values from the calculation:
crystal system	cubic
D(E_F)	1.5055	states/eV per atom
energy of formation from the pure elements	-0.463	eV per atom

Cell lengths 4.8472, 4.8472, 4.8472 Å; angles 60.00, 60.00, 60.00 degrees
Last column: nearest neighbours and their distance in Å.
Sites, in units of the cell vectors:
Ho: 0.0000 0.0000 0.0000  4 Ru 2.97, 4 Pt 2.97
Np: 0.5000 0.5000 0.5000  4 Ru 2.97, 4 Pt 2.97
Ru: 0.7500 0.7500 0.7500  4 Ho 2.97, 4 Np 2.97
Pt: 0.2500 0.2500 0.2500  4 Ho 2.97, 4 Np 2.97

(5)
A relaxed Rb6TeBr12 crystal. Source: the Alexandria database, functional PBE.

Values from the calculation:
crystal system	trigonal
formation energy (no corrections)	-1.137	eV/atom
D(E_F)	0.3743	states/eV per atom

Cell lengths 9.5971, 9.5971, 9.5971 Å; angles 97.23, 97.23, 97.23 degrees
Last column: nearest neighbours and their distance in Å.
Sites, in units of the cell vectors:
Rb: 0.1612 0.2801 0.6253  7 Br 3.43-3.75
Rb: 0.2801 0.6253 0.1612  7 Br 3.43-3.75
Rb: 0.3747 0.8388 0.7199  7 Br 3.43-3.75
Rb: 0.6253 0.1611 0.2801  7 Br 3.43-3.75
Rb: 0.7199 0.3747 0.8388  7 Br 3.43-3.75
Rb: 0.8388 0.7199 0.3747  7 Br 3.43-3.75
Te: 0.0000 0.0000 0.0000  6 Br 2.75
Br: 0.0167 0.9428 0.7151  1 Te 2.75
Br: 0.0572 0.2849 0.9833  1 Te 2.75
Br: 0.1501 0.5836 0.4726  1 Br 3.25, 4 Rb 3.43-3.49
Br: 0.2849 0.9833 0.0572  1 Te 2.75
Br: 0.4164 0.5274 0.8499  1 Br 3.25, 4 Rb 3.43-3.49
Br: 0.4726 0.1501 0.5836  1 Br 3.25, 4 Rb 3.43-3.49
Br: 0.5274 0.8499 0.4164  1 Br 3.25, 4 Rb 3.43-3.49
Br: 0.5836 0.4726 0.1501  1 Br 3.25, 4 Rb 3.43-3.49
Br: 0.7151 0.0167 0.9428  1 Te 2.75
Br: 0.8499 0.4164 0.5274  1 Br 3.25, 4 Rb 3.43-3.49
Br: 0.9428 0.7151 0.0167  1 Te 2.75
Br: 0.9833 0.0572 0.2849  1 Te 2.75

(6)
A relaxed Tb2Pt3Au2 crystal. Source: the Alexandria database, functional PBE.

Values from the calculation:
crystal system	monoclinic
D(E_F)	0.4442	states/eV per atom
polymorph energy (0 for the lowest one)	0.0000	eV/atom
energy of formation from the pure elements	-0.817	eV per atom

Cell lengths 5.3073, 5.3073, 8.2225 Å; angles 116.79, 116.79, 46.55 degrees
Last column: nearest neighbours and their distance in Å.
Sites, in units of the cell vectors:
Tb: 0.1948 0.1948 0.2811  6 Pt 2.90-3.01, 4 Au 3.05-3.16
Tb: 0.8052 0.8052 0.7189  6 Pt 2.90-3.01, 4 Au 3.05-3.16
Pt: 0.4746 0.4746 0.6461  2 Pt 2.68-2.80, 2 Au 2.83, 4 Tb 2.90-2.98
Pt: 0.5000 0.5000 0.0000  2 Pt 2.80, 6 Au 2.95-3.06, 4 Tb 3.01
Pt: 0.5254 0.5254 0.3539  2 Pt 2.68-2.80, 2 Au 2.83, 4 Tb 2.90-2.98
Au: 0.1614 0.1614 0.8814  2 Au 2.81, 5 Pt 2.83-3.06, 2 Tb 3.05-3.14
Au: 0.8386 0.8386 0.1186  2 Au 2.81, 5 Pt 2.83-3.06, 2 Tb 3.05-3.14